No. 1
The following is a DFT calculation (PBE-GGA) of crystalline TiAuNF2 at its relaxed geometry.

Lattice parameters (Å, degrees): 3.9638 3.9638 4.0475 90.00 90.00 90.00
Atoms (fractional coordinates):
1 Ti 0.0000 0.0000 0.0000
2 Au 0.5000 0.5000 0.5000
3 N 0.0000 0.0000 0.5000
4 F 0.0000 0.5000 0.0000
5 F 0.5000 0.0000 0.0000

Computed properties:
formation energy from raw total energies = -1.2530 eV per atom
excess energy over the best structure of this formula in the dataset = 0 meV per atom

***

No. 2
The following is a DFT calculation (PBE-GGA) of crystalline TiAuN2F at its relaxed geometry.

Lattice parameters (Å, degrees): 4.0453 4.0453 4.1255 90.00 90.00 90.00
Atoms (fractional coordinates):
1 Ti 0.0000 0.0000 0.0000
2 Au 0.5000 0.5000 0.5000
3 N 0.0000 0.5000 0.5000
4 N 0.5000 0.0000 0.5000
5 F 0.5000 0.5000 0.0000

Computed properties:
formation energy from raw total energies = 1.0278 eV per atom
excess energy over the best structure of this formula in the dataset = 1216 meV per atom

***

No. 3
The following is a DFT calculation (PBE-GGA) of crystalline TiAuN2F at its relaxed geometry.

Lattice parameters (Å, degrees): 4.0238 4.0238 3.8481 90.00 90.00 90.00
Atoms (fractional coordinates):
1 Ti 0.0000 0.0000 0.0000
2 Au 0.5000 0.5000 0.5000
3 N 0.0000 0.5000 0.0000
4 N 0.5000 0.0000 0.0000
5 F 0.0000 0.0000 0.5000

Computed properties:
formation energy from raw total energies = -0.1883 eV per atom
excess energy over the best structure of this formula in the dataset = 0 meV per atom